## La3TlPt (GGA-PBE)

Data for a relaxed structure of La3TlPt.

* crystal system: orthorhombic
* distance to the lowest polymorph of the same formula: 0.000 eV per atom
* formation enthalpy at 0 K: -325 kJ/mol of formula units
* M_tot: 0.0 Bohr magnetons per cell

a = 7.9898 Å, b = 5.0278 Å, c = 15.4440 Å
α = 90.00°, β = 90.00°, γ = 90.00°
With the nearest neighbours (Å) after each atom.
Positions (direct):
La: 0.0102 0.2500 0.1063  3 Pt 2.87-3.07
La: 0.1413 0.2500 0.5228  2 Pt 3.11, 2 La 3.45, 2 Tl 3.46
La: 0.1814 0.7500 0.2761  1 Pt 2.80
La: 0.3186 0.2500 0.7761  1 Pt 2.80
La: 0.3587 0.7500 0.0228  2 Pt 3.11, 2 La 3.45, 2 Tl 3.46
La: 0.4898 0.7500 0.6063  3 Pt 2.87-3.07
La: 0.5102 0.2500 0.3937  3 Pt 2.87-3.07
La: 0.6413 0.2500 0.9772  2 Pt 3.11, 2 La 3.45, 2 Tl 3.46
La: 0.6814 0.7500 0.2239  1 Pt 2.80
La: 0.8186 0.2500 0.7239  1 Pt 2.80
La: 0.8587 0.7500 0.4772  2 Pt 3.11, 2 La 3.45, 2 Tl 3.46
La: 0.9898 0.7500 0.8937  3 Pt 2.87-3.07
Tl: 0.0838 0.7500 0.6740  9 La 3.38-3.53
Tl: 0.4162 0.2500 0.1740  9 La 3.38-3.53
Tl: 0.5838 0.7500 0.8260  9 La 3.38-3.53
Tl: 0.9162 0.2500 0.3260  9 La 3.38-3.53
Pt: 0.1867 0.2500 0.9444  6 La 2.80-3.11
Pt: 0.3133 0.7500 0.4444  6 La 2.80-3.11
Pt: 0.6867 0.2500 0.5556  6 La 2.80-3.11
Pt: 0.8133 0.7500 0.0556  6 La 2.80-3.11


## LaTlPt (GGA-PBE)

Data for a relaxed structure of LaTlPt.

* crystal system: cubic
* formation enthalpy at 0 K: -209 kJ/mol of formula units
* M_tot: 0.0 Bohr magnetons per cell

a = 6.9525 Å, b = 6.9525 Å, c = 6.9525 Å
α = 90.00°, β = 90.00°, γ = 90.00°
With the nearest neighbours (Å) after each atom.
Positions (direct):
La: 0.0000 0.0000 0.0000  4 Pt 3.01
La: 0.0000 0.5000 0.5000  4 Pt 3.01
La: 0.5000 0.0000 0.5000  4 Pt 3.01
La: 0.5000 0.5000 0.0000  4 Pt 3.01
Tl: 0.0000 0.0000 0.5000  4 Pt 3.01
Tl: 0.0000 0.5000 0.0000  4 Pt 3.01
Tl: 0.5000 0.0000 0.0000  4 Pt 3.01
Tl: 0.5000 0.5000 0.5000  4 Pt 3.01
Pt: 0.2500 0.2500 0.2500  4 Tl 3.01, 4 La 3.01
Pt: 0.2500 0.7500 0.7500  4 Tl 3.01, 4 La 3.01
Pt: 0.7500 0.2500 0.7500  4 Tl 3.01, 4 La 3.01
Pt: 0.7500 0.7500 0.2500  4 Tl 3.01, 4 La 3.01


## LaTlPt (GGA-PBE)

Data for a relaxed structure of LaTlPt.

* crystal system: orthorhombic
* formation enthalpy at 0 K: -237 kJ/mol of formula units
* M_tot: 0.0 Bohr magnetons per cell

a = 14.1401 Å, b = 3.9871 Å, c = 8.0465 Å
α = 90.00°, β = 90.00°, γ = 90.00°
With the nearest neighbours (Å) after each atom.
Positions (direct):
La: 0.0469 0.0000 0.2259  5 Pt 3.13-3.39, 2 Tl 3.47
La: 0.2500 0.0000 0.8482  5 Pt 3.04-3.21
La: 0.4531 0.0000 0.2259  5 Pt 3.13-3.39, 2 Tl 3.47
La: 0.5469 0.0000 0.7741  5 Pt 3.13-3.39, 2 Tl 3.47
La: 0.7500 0.0000 0.1518  5 Pt 3.04-3.21
La: 0.9531 0.0000 0.7741  5 Pt 3.13-3.39, 2 Tl 3.47
Tl: 0.1165 0.5000 0.5689  3 Pt 2.91-2.98
Tl: 0.2500 0.5000 0.1928  4 Pt 2.87-2.99
Tl: 0.3835 0.5000 0.5689  3 Pt 2.91-2.98
Tl: 0.6165 0.5000 0.4311  3 Pt 2.91-2.98
Tl: 0.7500 0.5000 0.8072  4 Pt 2.87-2.99
Tl: 0.8835 0.5000 0.4311  3 Pt 2.91-2.98
Pt: 0.0957 0.5000 0.9381  1 Pt 2.89, 2 Tl 2.98-2.99, 6 La 3.04-3.13
Pt: 0.2500 0.0000 0.4498  6 Tl 2.87-2.91, 1 La 3.21
Pt: 0.4043 0.5000 0.9381  1 Pt 2.89, 2 Tl 2.98-2.99, 6 La 3.04-3.13
Pt: 0.5957 0.5000 0.0619  1 Pt 2.89, 2 Tl 2.98-2.99, 6 La 3.04-3.13
Pt: 0.7500 0.0000 0.5502  6 Tl 2.87-2.91, 1 La 3.21
Pt: 0.9043 0.5000 0.0619  1 Pt 2.89, 2 Tl 2.98-2.99, 6 La 3.04-3.13


## LaTl2Pt2 (GGA-PBE)

Data for a relaxed structure of LaTl2Pt2.

* crystal system: tetragonal
* distance to the lowest polymorph of the same formula: 0.183 eV per atom
* formation enthalpy at 0 K: -160 kJ/mol of formula units
* M_tot: 0.0 Bohr magnetons per cell

a = 5.0918 Å, b = 5.0918 Å, c = 9.6666 Å
α = 90.00°, β = 90.00°, γ = 90.00°
With the nearest neighbours (Å) after each atom.
Positions (direct):
La: 0.0000 0.0000 0.0000  2 Tl 3.42, 8 Pt 3.51
La: 0.5000 0.5000 0.5000  2 Tl 3.42, 8 Pt 3.51
Tl: 0.0000 0.0000 0.3534  4 Pt 2.74, 1 Tl 2.83
Tl: 0.0000 0.0000 0.6466  4 Pt 2.74, 1 Tl 2.83
Tl: 0.5000 0.5000 0.1466  4 Pt 2.74, 1 Tl 2.83
Tl: 0.5000 0.5000 0.8534  4 Pt 2.74, 1 Tl 2.83
Pt: 0.0000 0.5000 0.2500  4 Tl 2.74
Pt: 0.0000 0.5000 0.7500  4 Tl 2.74
Pt: 0.5000 0.0000 0.2500  4 Tl 2.74
Pt: 0.5000 0.0000 0.7500  4 Tl 2.74


## LaTl3Pt (GGA-PBE)

Data for a relaxed structure of LaTl3Pt.

* crystal system: cubic
* distance to the lowest polymorph of the same formula: 0.000 eV per atom
* formation enthalpy at 0 K: -9 kJ/mol of formula units
* M_tot: 0.0 Bohr magnetons per cell

a = 5.3179 Å, b = 5.3179 Å, c = 5.3179 Å
α = 90.00°, β = 90.00°, γ = 90.00°
With the nearest neighbours (Å) after each atom.
Positions (direct):
La: 0.0000 0.0000 0.0000  12 Tl 3.76
Tl: 0.0000 0.5000 0.5000  2 Pt 2.66
Tl: 0.5000 0.0000 0.5000  2 Pt 2.66
Tl: 0.5000 0.5000 0.0000  2 Pt 2.66
Pt: 0.5000 0.5000 0.5000  6 Tl 2.66


## LaTl3Pt (GGA-PBE)

Data for a relaxed structure of LaTl3Pt.

* crystal system: cubic
* distance to the lowest polymorph of the same formula: 1.168 eV per atom
* formation enthalpy at 0 K: 554 kJ/mol of formula units
* M_tot: 0.0 Bohr magnetons per cell

a = 6.0431 Å, b = 6.0431 Å, c = 6.0431 Å
α = 90.00°, β = 90.00°, γ = 90.00°
With the nearest neighbours (Å) after each atom.
Positions (direct):
La: 0.0000 0.0000 0.0000  6 Tl 3.02
Tl: 0.0000 0.0000 0.5000  2 La 3.02
Tl: 0.0000 0.5000 0.0000  2 La 3.02
Tl: 0.5000 0.0000 0.0000  2 La 3.02
Pt: 0.5000 0.5000 0.5000  12 Tl 4.27


Please write out number 4 again, unchanged.
## LaTl2Pt2 (GGA-PBE)

Data for a relaxed structure of LaTl2Pt2.

* crystal system: tetragonal
* distance to the lowest polymorph of the same formula: 0.183 eV per atom
* formation enthalpy at 0 K: -160 kJ/mol of formula units
* M_tot: 0.0 Bohr magnetons per cell

a = 5.0918 Å, b = 5.0918 Å, c = 9.6666 Å
α = 90.00°, β = 90.00°, γ = 90.00°
With the nearest neighbours (Å) after each atom.
Positions (direct):
La: 0.0000 0.0000 0.0000  2 Tl 3.42, 8 Pt 3.51
La: 0.5000 0.5000 0.5000  2 Tl 3.42, 8 Pt 3.51
Tl: 0.0000 0.0000 0.3534  4 Pt 2.74, 1 Tl 2.83
Tl: 0.0000 0.0000 0.6466  4 Pt 2.74, 1 Tl 2.83
Tl: 0.5000 0.5000 0.1466  4 Pt 2.74, 1 Tl 2.83
Tl: 0.5000 0.5000 0.8534  4 Pt 2.74, 1 Tl 2.83
Pt: 0.0000 0.5000 0.2500  4 Tl 2.74
Pt: 0.0000 0.5000 0.7500  4 Tl 2.74
Pt: 0.5000 0.0000 0.2500  4 Tl 2.74
Pt: 0.5000 0.0000 0.7500  4 Tl 2.74


Which of these has the highest formation enthalpy at 0 K?
number 6


Copy entry 3 word for word.
## LaTlPt (GGA-PBE)

Data for a relaxed structure of LaTlPt.

* crystal system: orthorhombic
* formation enthalpy at 0 K: -237 kJ/mol of formula units
* M_tot: 0.0 Bohr magnetons per cell

a = 14.1401 Å, b = 3.9871 Å, c = 8.0465 Å
α = 90.00°, β = 90.00°, γ = 90.00°
With the nearest neighbours (Å) after each atom.
Positions (direct):
La: 0.0469 0.0000 0.2259  5 Pt 3.13-3.39, 2 Tl 3.47
La: 0.2500 0.0000 0.8482  5 Pt 3.04-3.21
La: 0.4531 0.0000 0.2259  5 Pt 3.13-3.39, 2 Tl 3.47
La: 0.5469 0.0000 0.7741  5 Pt 3.13-3.39, 2 Tl 3.47
La: 0.7500 0.0000 0.1518  5 Pt 3.04-3.21
La: 0.9531 0.0000 0.7741  5 Pt 3.13-3.39, 2 Tl 3.47
Tl: 0.1165 0.5000 0.5689  3 Pt 2.91-2.98
Tl: 0.2500 0.5000 0.1928  4 Pt 2.87-2.99
Tl: 0.3835 0.5000 0.5689  3 Pt 2.91-2.98
Tl: 0.6165 0.5000 0.4311  3 Pt 2.91-2.98
Tl: 0.7500 0.5000 0.8072  4 Pt 2.87-2.99
Tl: 0.8835 0.5000 0.4311  3 Pt 2.91-2.98
Pt: 0.0957 0.5000 0.9381  1 Pt 2.89, 2 Tl 2.98-2.99, 6 La 3.04-3.13
Pt: 0.2500 0.0000 0.4498  6 Tl 2.87-2.91, 1 La 3.21
Pt: 0.4043 0.5000 0.9381  1 Pt 2.89, 2 Tl 2.98-2.99, 6 La 3.04-3.13
Pt: 0.5957 0.5000 0.0619  1 Pt 2.89, 2 Tl 2.98-2.99, 6 La 3.04-3.13
Pt: 0.7500 0.0000 0.5502  6 Tl 2.87-2.91, 1 La 3.21
Pt: 0.9043 0.5000 0.0619  1 Pt 2.89, 2 Tl 2.98-2.99, 6 La 3.04-3.13


Which value of M_tot does entry 4 give?
0.0 Bohr magnetons per cell